A geometry-optimized LaAuS3 structure, computed with PBE-GGA.

For the total magnetization, the calculation gives 0.00 μB/f.u. The formation energy from raw total energies comes out at 0.140 eV per atom. Its volume is 33.28 Å³ per atom. The calculated total energy is -3.98 eV/atom. Its crystal system is cubic.

Cell lengths 5.5002, 5.5002, 5.5002 Å; angles 90.00, 90.00, 90.00 degrees
Last column: nearest neighbours and their distance in Å.
Fractional coordinates of all 5 atoms:
La (0.0000, 0.0000, 0.0000)  6 S 2.75
S (0.5000, 0.0000, 0.0000)  2 La 2.75
Au (0.5000, 0.5000, 0.5000)  12 S 3.89
S (0.0000, 0.5000, 0.0000)  2 La 2.75
S (0.0000, 0.0000, 0.5000)  2 La 2.75